BeIn2Pt | PBE | relaxed

Cell lengths 5.085, 5.085, 5.085 Å; angles 132.47, 132.47, 69.49 degrees
Sites, in units of the cell vectors:
Be 0.750 0.250 0.500
In 0.250 0.750 0.500
In 0.000 0.000 0.000
Pt 0.500 0.500 0.000

Results
symmetry = No. 119
E = -0.2725 Ry/atom
magnetization = 0.000 μB/atom